NiIrRh2: optimized geometry, PBE.

Structure (POSCAR):
```
NiIrRh2
1.0
-3.1662 -6.8553 -4.3866
-2.6774 -8.0651 -2.0121
-5.0076 -6.7390 -2.4026
Ni Ir Rh
1 1 2
Direct
0.7503 0.7503 0.7503 Ni
0.4972 0.4972 0.4972 Ir
0.2498 0.2498 0.2498 Rh
0.0030 0.0030 0.0030 Rh
```

Properties
spin magnetization = 0.1846 μB per atom
uncorrected energy = -7.280 eV per atom
offset from the most stable computed form = 53.9 meV per atom
energy relative to the elements = 0.22 eV per formula unit
Fermi-level density of states = 1.57 states/eV per atom